1.
4
Lattice="2.275 1.314 6.043 -2.275 1.314 6.043 0.000 -2.627 6.043" Properties=species:S:1:pos:R:3 comment="TlIF2 PBEsol relaxed" dos_ef_per_ev_fu=0.0 space_group="R-3m, No. 166" e_form_raw_ev_per_fu=-5.18 pbc="T T T"
Tl 0.000 0.000 0.000
I 0.000 0.000 9.064
F 0.000 0.000 6.948
F 0.000 0.000 11.180

2.
4
Lattice="0.000 3.125 3.125 3.125 0.000 3.125 3.125 3.125 0.000" Properties=species:S:1:pos:R:3 comment="WIF2 PBEsol relaxed" dos_ef_per_ev_fu=5.4 space_group="Fm-3m, No. 225" e_form_raw_ev_per_fu=0.84 pbc="T T T"
W 0.000 0.000 0.000
I 3.125 3.125 3.125
F 1.562 1.562 1.562
F 4.687 4.687 4.687

3.
5
Lattice="5.186 0.000 0.000 0.000 5.186 0.000 0.000 0.000 5.186" Properties=species:S:1:pos:R:3 comment="ZnI3F PBEsol relaxed" dos_ef_per_ev_fu=7.0 space_group="Pm-3m, No. 221" e_form_raw_ev_per_fu=1.21 pbc="T T T"
Zn 0.000 0.000 0.000
I 0.000 2.593 2.593
I 2.593 0.000 2.593
I 2.593 2.593 0.000
F 2.593 2.593 2.593

4.
4
Lattice="1.542 0.890 10.276 -1.542 0.890 10.276 0.000 -1.780 10.276" Properties=species:S:1:pos:R:3 comment="ZrIF2 PBEsol relaxed" dos_ef_per_ev_fu=1.1 space_group="R-3m, No. 166" de_polymorph_kj_per_mol_atoms=0.0 e_form_raw_ev_per_fu=-7.87 pbc="T T T"
Zr 0.000 0.000 0.000
I 0.000 0.000 15.415
F 0.000 0.000 11.702
F 0.000 0.000 19.127

5.
5
Lattice="-1.819 1.819 6.994 1.819 -1.819 6.994 1.819 1.819 -6.994" Properties=species:S:1:pos:R:3 comment="ZrI2F2 PBEsol relaxed" dos_ef_per_ev_fu=4.3 space_group="I4/mmm, No. 139" e_form_raw_ev_per_fu=-4.31 pbc="T T T"
Zr 0.000 0.000 0.000
I 0.000 0.000 5.315
I 0.000 0.000 8.674
F 1.819 0.000 3.497
F 0.000 1.819 3.497

6.
4
Lattice="0.000 3.150 3.150 3.150 0.000 3.150 3.150 3.150 0.000" Properties=species:S:1:pos:R:3 comment="ZrIF2 PBEsol relaxed" dos_ef_per_ev_fu=2.3 space_group="Fm-3m, No. 225" de_polymorph_kj_per_mol_atoms=47.3 e_form_raw_ev_per_fu=-5.91 pbc="T T T"
Zr 0.000 0.000 0.000
I 3.150 3.150 3.150
F 1.575 1.575 1.575
F 4.725 4.725 4.725

In order of appearance, magnetic moment = 0.00, 2.95, 0.00, 0.00, 0.00, 0.00 Bohr magnetons per cell.